The following is a PBE calculation of a relaxed structure of DySc6Al, from Alexandria via LeMat-Bulk.

DOS(E_F) (states/eV/f.u.): 13.0
Energy of formation (eV/atom): 0.26

a b c (Å): 6.839 11.218 6.214
angles (deg): 90.00 122.68 90.00
Sites, in units of the cell vectors:
Dy 0.000 0.000 0.000
Dy 0.500 0.500 0.000
Sc 0.229 0.273 0.743
Sc 0.229 0.727 0.743
Sc 0.235 0.500 0.275
Sc 0.265 0.000 0.725
Sc 0.271 0.227 0.257
Sc 0.271 0.773 0.257
Sc 0.729 0.227 0.743
Sc 0.729 0.773 0.743
Sc 0.735 0.000 0.275
Sc 0.765 0.500 0.725
Sc 0.771 0.273 0.257
Sc 0.771 0.727 0.257
Al 0.000 0.500 0.500
Al 0.500 0.000 0.500